Entry from the Alexandria database: a geometry-optimized Tm2Ga4Ge structure (PBE).

## Properties
Space-group type: Cmmm (65)
Raw total energy (eV/atom): -4.082

The structure in POSCAR format:
```
Tm2Ga4Ge
1.0
4.133 0.000 0.000
0.000 5.926 -0.713
0.000 1.179 5.851
Ge Tm Ga
1 2 4
direct
0.500 0.500 0.500
0.000 0.749 0.251
0.000 0.251 0.749
0.000 0.760 0.760
0.000 0.240 0.240
0.500 0.000 0.500
0.500 0.500 0.000
```

***

Entry from the Alexandria database: a geometry-optimized SiTe2As structure (PBE).

## Properties
Space-group type: Cmmm (65)
Raw total energy (eV/atom): -3.609
Distance to the lowest polymorph of the same formula (meV/atom): 348.2

The structure in POSCAR format:
```
SiTe2As
1.0
4.305 -0.046 0.000
-2.502 3.504 0.000
0.000 0.000 7.958
As Si Te
1 1 2
direct
0.500 0.500 0.250
0.500 0.500 0.750
0.000 0.000 0.995
0.000 0.000 0.505
```

***

Entry from the Alexandria database: a geometry-optimized BaAl2HS structure (PBE).

## Properties
Space-group type: P4/mmm (123)
Raw total energy (eV/atom): -3.518

The structure in POSCAR format:
```
BaAl2HS
1.0
4.340 0.000 0.000
0.000 5.849 0.000
0.000 0.000 4.340
H S Ba Al
1 1 1 2
direct
0.000 0.000 0.000
0.500 0.500 0.500
0.000 0.500 0.000
0.000 0.000 0.500
0.500 0.000 0.000
```

***

Entry from the Alexandria database: a geometry-optimized LaSmSe3 structure (PBE).

## Properties
Space-group type: Pnma (62)
Raw total energy (eV/atom): -5.999
Distance to the lowest polymorph of the same formula (meV/atom): 0.0

The structure in POSCAR format:
```
LaSmSe3
1.0
-4.059 -0.913 0.896
-0.055 -5.383 -5.732
4.905 -11.374 10.634
La Sm Se
4 4 12
direct
0.750 0.860 0.798
0.250 0.140 0.202
0.750 0.360 0.702
0.250 0.640 0.298
0.250 0.268 0.957
0.250 0.768 0.543
0.750 0.232 0.457
0.750 0.732 0.043
0.250 0.376 0.564
0.750 0.849 0.218
0.750 0.491 0.893
0.750 0.991 0.607
0.750 0.624 0.436
0.250 0.009 0.393
0.250 0.876 0.936
0.750 0.349 0.282
0.250 0.651 0.718
0.250 0.151 0.782
0.750 0.124 0.064
0.250 0.509 0.107
```

***

Entry from the Alexandria database: a geometry-optimized Y2ScAg structure (PBE).

## Properties
Space-group type: R-3m (166)
Raw total energy (eV/atom): -5.520
Distance to the lowest polymorph of the same formula (meV/atom): 127.3

The structure in POSCAR format:
```
Y2ScAg
1.0
10.470 0.005 0.003
9.891 3.434 0.003
9.891 1.671 3.000
Ag Sc Y
1 1 2
direct
0.250 0.250 0.250
0.750 0.750 0.750
0.995 0.995 0.995
0.505 0.505 0.505
```

***

Entry from the Alexandria database: a geometry-optimized Sm2TcRu3 structure (PBE).

## Properties
Space-group type: P6_3/mmc (194)
Raw total energy (eV/atom): -8.123

The structure in POSCAR format:
```
Sm2TcRu3
1.0
-3.646 -3.791 1.716
3.673 -1.276 -3.936
5.419 -2.548 5.883
Sm Tc Ru
4 2 6
direct
0.667 0.333 0.436
0.333 0.667 0.564
0.333 0.667 0.936
0.667 0.333 0.064
0.000 0.000 0.500
0.000 0.000 0.000
0.170 0.340 0.250
0.340 0.170 0.750
0.830 0.660 0.750
0.170 0.830 0.250
0.830 0.170 0.750
0.660 0.830 0.250
```

***

Entry from the Alexandria database: a geometry-optimized CrWAu3 structure (PBE).

## Properties
Space-group type: Pm-3m (221)
Raw total energy (eV/atom): -4.590
Distance to the lowest polymorph of the same formula (meV/atom): 537.7

The structure in POSCAR format:
```
CrWAu3
1.0
-2.590 -2.942 -2.537
-2.259 -1.340 3.861
-3.161 3.369 -0.680
Cr Au W
1 3 1
direct
0.000 0.000 0.000
0.000 0.500 0.000
0.000 0.000 0.500
0.500 0.000 0.000
0.500 0.500 0.500
```

***

Entry from the Alexandria database: a geometry-optimized SnBiP structure (PBE).

## Properties
Space-group type: C2/m (12)
Raw total energy (eV/atom): -4.358
Distance to the lowest polymorph of the same formula (meV/atom): 24.2

The structure in POSCAR format:
```
SnBiP
1.0
5.491 0.000 0.019
0.000 4.337 0.000
-1.521 0.000 14.802
Sn Bi P
4 4 4
direct
0.590 0.000 0.909
0.410 0.000 0.091
0.590 0.500 0.409
0.410 0.500 0.591
0.823 0.000 0.704
0.177 0.000 0.296
0.823 0.500 0.204
0.177 0.500 0.796
0.878 0.000 0.438
0.122 0.000 0.562
0.878 0.500 0.938
0.122 0.500 0.062
```

***

Entry from the Alexandria database: a geometry-optimized Na2Cu2RhSe4 structure (PBE).

## Properties
Space-group type: C2/m (12)
Raw total energy (eV/atom): -4.086

The structure in POSCAR format:
```
Na2Cu2RhSe4
1.0
3.884 0.000 0.000
-1.942 7.332 -0.114
0.000 -2.655 6.453
Na Cu Rh Se
2 2 1 4
direct
0.866 0.732 0.437
0.134 0.268 0.563
0.308 0.617 0.017
0.692 0.383 0.983
0.000 0.000 0.000
0.811 0.621 0.807
0.189 0.379 0.193
0.486 0.973 0.229
0.514 0.027 0.771
```

***

Entry from the Alexandria database: a geometry-optimized AlSiPt2 structure (PBE).

## Properties
Space-group type: Pmm2 (25)
Raw total energy (eV/atom): -6.070

The structure in POSCAR format:
```
AlSiPt2
1.0
4.130 0.000 0.000
0.000 3.657 0.002
0.000 -0.002 4.070
Si Al Pt
1 1 2
direct
0.000 0.375 0.583
0.500 0.875 0.667
0.000 0.875 0.992
0.500 0.375 0.258
```

***

Entry from the Alexandria database: a geometry-optimized ZrAl2Pb structure (PBE).

## Properties
Space-group type: R-3m (166)
Raw total energy (eV/atom): -4.873

The structure in POSCAR format:
```
ZrAl2Pb
1.0
-9.855 0.167 2.799
-9.734 -2.797 1.553
-8.857 -2.299 4.608
Pb Al Zr
1 2 1
direct
0.250 0.250 0.250
0.008 0.008 0.008
0.492 0.492 0.492
0.750 0.750 0.750
```

***

Entry from the Alexandria database: a geometry-optimized Zn11Ag9Au4 structure (PBE).

## Properties
Space-group type: Cmmm (65)
Raw total energy (eV/atom): -2.274

The structure in POSCAR format:
```
Zn11Ag9Au4
1.0
-1.415 -2.353 1.129
-2.375 -3.808 -10.913
10.361 -4.823 2.936
Zn Ag Au
11 9 4
direct
0.000 0.579 0.942
0.000 0.421 0.058
0.000 0.942 0.579
0.000 0.058 0.421
0.000 0.642 0.358
0.000 0.358 0.642
0.000 0.846 0.154
0.000 0.154 0.846
0.000 0.000 0.000
0.000 0.738 0.738
0.000 0.262 0.262
0.500 0.646 0.147
0.500 0.354 0.853
0.500 0.147 0.646
0.500 0.853 0.354
0.500 0.787 0.948
0.500 0.213 0.052
0.500 0.948 0.787
0.500 0.052 0.213
0.500 0.500 0.500
0.500 0.551 0.747
0.500 0.449 0.253
0.500 0.747 0.551
0.500 0.253 0.449
```

***

Entry from the Alexandria database: a geometry-optimized Mg4Ag2Ge structure (PBE).

## Properties
Space-group type: I4/mmm (139)
Raw total energy (eV/atom): -2.269
Distance to the lowest polymorph of the same formula (meV/atom): 232.1

The structure in POSCAR format:
```
Mg4Ag2Ge
1.0
-1.888 -4.200 -2.187
-1.803 -1.540 4.512
-7.645 0.368 -0.049
Ge Mg Ag
1 4 2
direct
0.000 0.000 0.000
0.196 0.196 0.607
0.804 0.804 0.393
0.000 0.500 0.000
0.500 0.000 0.000
0.394 0.394 0.213
0.606 0.606 0.787
```

***

Entry from the Alexandria database: a geometry-optimized U2InPt2 structure (PBE).

## Properties
Space-group type: P4_2/mnm (136)
Raw total energy (eV/atom): -8.031

The structure in POSCAR format:
```
U2InPt2
1.0
7.777 0.000 0.000
0.000 7.777 0.000
0.000 0.000 7.244
U In Pt
8 4 8
direct
0.316 0.684 0.500
0.684 0.316 0.500
0.184 0.184 0.000
0.816 0.816 0.000
0.851 0.851 0.500
0.149 0.149 0.500
0.649 0.351 0.000
0.351 0.649 0.000
0.000 0.500 0.250
0.500 0.000 0.750
0.000 0.500 0.750
0.500 0.000 0.250
0.135 0.865 0.217
0.865 0.135 0.217
0.365 0.365 0.717
0.635 0.635 0.717
0.865 0.135 0.783
0.135 0.865 0.783
0.635 0.635 0.283
0.365 0.365 0.283
```

***

Entry from the Alexandria database: a geometry-optimized Th6Sb3AsSe2 structure (PBE).

## Properties
Space-group type: C2/m (12)
Raw total energy (eV/atom): -6.908

The structure in POSCAR format:
```
Th6Sb3AsSe2
1.0
-6.393 -1.596 -3.709
0.775 -2.032 7.242
-0.879 7.460 0.872
Th Sb As Se
6 3 1 2
direct
0.925 0.594 0.773
0.745 0.745 0.227
0.075 0.406 0.227
0.594 0.925 0.773
0.255 0.255 0.773
0.406 0.075 0.227
0.167 0.833 0.500
0.833 0.167 0.500
0.500 0.500 0.500
0.000 0.000 0.000
0.333 0.667 0.000
0.667 0.333 0.000
```

***

Entry from the Alexandria database: a geometry-optimized CoRe2Au structure (PBE).

## Properties
Space-group type: Fm-3m (225)
Raw total energy (eV/atom): -8.058
Distance to the lowest polymorph of the same formula (meV/atom): 525.5

The structure in POSCAR format:
```
CoRe2Au
1.0
0.000 3.092 3.092
3.092 0.000 3.092
3.092 3.092 0.000
Re Au Co
2 1 1
direct
0.250 0.250 0.250
0.750 0.750 0.750
0.500 0.500 0.500
0.000 0.000 0.000
```

***

Entry from the Alexandria database: a geometry-optimized CaBiP2Cl structure (PBE).

## Properties
Space-group type: P4/mmm (123)
Raw total energy (eV/atom): -3.685
Distance to the lowest polymorph of the same formula (meV/atom): 0.0

The structure in POSCAR format:
```
CaBiP2Cl
1.0
-1.638 0.945 -4.908
-3.793 -3.598 0.573
-3.341 3.817 1.850
P Ca Bi Cl
2 1 1 1
direct
0.000 0.500 0.000
0.500 0.000 0.000
0.500 0.500 0.500
0.000 0.000 0.000
0.000 0.000 0.500
```

***

Entry from the Alexandria database: a geometry-optimized Ni2SbRhS structure (PBE).

## Properties
Space-group type: P4/mmm (123)
Raw total energy (eV/atom): -4.755

The structure in POSCAR format:
```
Ni2SbRhS
1.0
4.735 0.000 0.000
0.000 4.244 0.000
0.000 0.000 4.735
Sb S Rh Ni
1 1 1 2
direct
0.500 0.500 0.500
0.000 0.500 0.000
0.000 0.000 0.000
0.000 0.000 0.500
0.500 0.000 0.000
```

***

Entry from the Alexandria database: a geometry-optimized MoP2 structure (PBE).

## Properties
Space-group type: P-62m (189)
Raw total energy (eV/atom): -7.468

The structure in POSCAR format:
```
MoP2
1.0
3.261 4.477 -4.102
-4.949 2.203 4.261
2.135 0.486 2.228
Mo P
3 6
direct
0.333 0.667 0.000
0.667 0.333 0.000
0.000 0.000 0.500
0.280 0.000 0.000
0.000 0.280 0.000
0.720 0.720 0.000
0.623 0.000 0.500
0.000 0.623 0.500
0.377 0.377 0.500
```

***

Entry from the Alexandria database: a geometry-optimized K2YRhPb structure (PBE).

## Properties
Space-group type: P4/mmm (123)
Raw total energy (eV/atom): -2.620

The structure in POSCAR format:
```
K2YRhPb
1.0
-3.788 -2.600 -5.179
4.390 0.709 -3.567
2.271 -6.359 1.530
Pb Y K Rh
1 1 2 1
direct
0.000 0.500 0.000
0.000 0.000 0.000
0.000 0.000 0.500
0.500 0.000 0.000
0.500 0.500 0.500
```

***

Entry from the Alexandria database: a geometry-optimized CsBa3In structure (PBE).

## Properties
Space-group type: Pm-3m (221)
Raw total energy (eV/atom): -1.911
Distance to the lowest polymorph of the same formula (meV/atom): 0.0

The structure in POSCAR format:
```
CsBa3In
1.0
6.992 0.000 0.000
0.000 6.992 0.000
0.000 0.000 6.992
Cs Ba In
1 3 1
direct
0.500 0.500 0.500
0.000 0.500 0.000
0.000 0.000 0.500
0.500 0.000 0.000
0.000 0.000 0.000
```

***

Entry from the Alexandria database: a geometry-optimized MgTcIr2 structure (PBE).

## Properties
Space-group type: P4/mmm (123)
Raw total energy (eV/atom): -7.401

The structure in POSCAR format:
```
MgTcIr2
1.0
3.699 0.000 0.000
0.000 4.034 0.000
0.000 0.000 4.034
Ir Mg Tc
2 1 1
direct
0.000 0.000 0.000
0.000 0.500 0.500
0.500 0.500 0.000
0.500 0.000 0.500
```

***

Entry from the Alexandria database: a geometry-optimized KZnCo2 structure (PBE).

## Properties
Space-group type: Cmmm (65)
Raw total energy (eV/atom): -3.150

The structure in POSCAR format:
```
KZnCo2
1.0
-2.236 -4.664 -1.369
0.616 0.911 5.236
-2.341 1.097 0.085
Co K Zn
2 1 1
direct
0.000 0.000 0.000
0.500 0.500 0.000
0.500 0.000 0.500
0.000 0.500 0.500
```